Record 1
Compound: ThScAl4
Source: Alexandria
Functional: PBE
Structure: relaxed

Computed properties:
- Space group: Immm
- Energy relative to the elements: -0.390 eV per atom
- Energy relative to the lowest polymorph listed for this composition: 31 meV per atom
- Electronic total energy: -5.18 eV/atom

Unit cell a=4.550 b=5.751 c=5.751 alpha=73.71 beta=66.70 gamma=66.70
Sites, in units of the cell vectors:
Al1 0.664 0.570 0.101
Al2 0.664 0.101 0.570
Al3 0.336 0.430 0.899
Th1 0.000 0.000 0.000
Al4 0.336 0.899 0.430
Sc1 0.000 0.500 0.500

Record 2
Compound: SiP2Rh
Source: Alexandria
Functional: PBE
Structure: relaxed

Computed properties:
- Space group: Cm
- ΔE_f (raw): -0.1895 eV/atom
- Electronic total energy: -6.09 eV/atom

Unit cell a=3.512 b=3.512 c=6.860 alpha=68.43 beta=68.43 gamma=52.15
Sites, in units of the cell vectors:
P1 0.032 0.032 0.013
Si1 0.239 0.239 0.223
P2 0.714 0.714 0.739
Rh1 0.515 0.515 0.525

Record 3
Compound: Ac2TmCd12Ag3
Source: Alexandria
Functional: PBE
Structure: relaxed

Computed properties:
- Space group: R-3m
- Energy relative to the elements: 0.103 eV per atom
- Electronic total energy: -1.69 eV/atom

Unit cell a=9.431 b=9.431 c=9.431 alpha=54.92 beta=54.92 gamma=54.92
Sites, in units of the cell vectors:
Ag1 0.500 0.000 0.000
Cd1 0.468 0.832 0.832
Cd2 0.168 0.532 0.168
Ag2 0.000 0.000 0.500
Ag3 0.000 0.500 0.000
Ac1 0.590 0.590 0.590
Cd3 0.775 0.143 0.775
Cd4 0.857 0.225 0.225
Cd5 0.832 0.832 0.468
Cd6 0.775 0.775 0.143
Cd7 0.832 0.468 0.832
Cd8 0.225 0.857 0.225
Cd9 0.143 0.775 0.775
Cd10 0.168 0.168 0.532
Ac2 0.410 0.410 0.410
Tm1 0.000 0.000 0.000
Cd11 0.532 0.168 0.168
Cd12 0.225 0.225 0.857